1.
The following is a GGA-PBE calculation of a relaxed structure of Rb2Tm2HfS6, from the Alexandria database.

The uncorrected energy comes out at -5.96 eV per atom. The formation energy (no corrections) comes out at -1.8133 eV per atom. Its density of states at the Fermi level is 0.00 states/eV/f.u.

The structure belongs to space group C2/m (No. 12); the cell edges are 6.7470, 11.6153 and 8.1983 Å and the angles 90.00°, 106.32° and 90.00°. Symmetry generates all atoms from Rb at (0.0000, 0.1697, 0.0000), Tm at (0.0000, 0.3333, 0.5000), Hf at (0.0000, 0.0000, 0.5000), S at (0.2222, 0.1590, 0.6840) and S at (0.2457, 0.5000, 0.6830).

=====

2.
The following is a GGA-PBE calculation of a relaxed structure of RbBeF3, from the Alexandria database.

The uncorrected energy comes out at -2.60 eV per atom. The formation energy (no corrections) comes out at -0.5431 eV per atom. Its density of states at the Fermi level is 6.18 states/eV/f.u.

The structure belongs to space group Pm-3m (No. 221); the cell edges are 4.9534, 4.9534 and 4.9534 Å and the angles 90.00°, 90.00° and 90.00°. Symmetry generates all atoms from Rb at (0.0000, 0.0000, 0.0000), Be at (0.5000, 0.5000, 0.5000) and F at (0.0000, 0.0000, 0.5000).

=====

3.
The following is a GGA-PBE calculation of a relaxed structure of Mg4GaHg2, from the Alexandria database.

The uncorrected energy comes out at -1.56 eV per atom. The formation enthalpy at 0 K comes out at -0.13 eV/atom. Its density of states at the Fermi level is 2.10 states/eV/f.u.

The structure belongs to space group P2_1/m (No. 11); the cell edges are 5.0471, 6.1716 and 9.8363 Å and the angles 90.00°, 98.73° and 90.00°. Symmetry generates all atoms from Mg at (0.0854, 0.2500, 0.1462), Mg at (0.1766, 0.7500, 0.4296), Mg at (0.3693, 0.0042, 0.7217), Ga at (0.0276, 0.7500, 0.1500), Hg at (0.2766, 0.2500, 0.4373) and Hg at (0.4569, 0.7500, 0.9954).

=====

Please write out number 2 again, unchanged.
The following is a GGA-PBE calculation of a relaxed structure of RbBeF3, from the Alexandria database.

The uncorrected energy comes out at -2.60 eV per atom. The formation energy (no corrections) comes out at -0.5431 eV per atom. Its density of states at the Fermi level is 6.18 states/eV/f.u.

The structure belongs to space group Pm-3m (No. 221); the cell edges are 4.9534, 4.9534 and 4.9534 Å and the angles 90.00°, 90.00° and 90.00°. Symmetry generates all atoms from Rb at (0.0000, 0.0000, 0.0000), Be at (0.5000, 0.5000, 0.5000) and F at (0.0000, 0.0000, 0.5000).

=====

Q: uncorrected energy of number 2 (RbBeF3)?
A: -2.60 eV per atom

=====

Q: uncorrected energy of number 3 (Mg4GaHg2)?
A: -1.56 eV per atom